(1)
This record from Alexandria via LeMat-Bulk describes ScAu2 after structural relaxation. The functional is PBE.

Cell lengths 10.269, 10.269, 10.269 Å; angles 160.23, 160.23, 28.11 degrees
Element x y z (fractional)
Sc (0.375, 0.625, 0.750)
Sc (0.625, 0.375, 0.250)
Au (0.053, 0.803, 0.250)
Au (0.197, 0.947, 0.250)
Au (0.803, 0.053, 0.750)
Au (0.947, 0.197, 0.750)

Summary:
Symmetry ... I4_1/amd, No. 141
Formation energy ... -0.591 eV per atom
Size of the total moment ... 0.0 μB per formula unit

(2)
This record from Alexandria via LeMat-Bulk describes Cs2TbTlS4 after structural relaxation. The functional is PBE.

Cell lengths 8.737, 8.737, 8.556 Å; angles 116.98, 116.98, 93.62 degrees
Element x y z (fractional)
Cs (0.000, 0.000, 0.000)
Cs (0.000, 0.000, 0.500)
Cs (0.000, 0.500, 0.000)
Cs (0.500, 0.000, 0.500)
Tb (0.500, 0.500, 0.000)
Tb (0.500, 0.500, 0.500)
Tl (0.000, 0.500, 0.500)
Tl (0.500, 0.000, 0.000)
S (0.246, 0.702, 0.517)
S (0.288, 0.312, 0.560)
S (0.298, 0.754, 0.983)
S (0.312, 0.288, 0.060)
S (0.688, 0.712, 0.940)
S (0.702, 0.246, 0.017)
S (0.712, 0.688, 0.440)
S (0.754, 0.298, 0.483)

Summary:
Symmetry ... C2/c, No. 15
Raw formation energy ... -1.06 eV per atom
Size of the total moment ... 0.0 μB per formula unit

(3)
This record from Alexandria via LeMat-Bulk describes Nd2HoGe3Rh4 after structural relaxation. The functional is PBE.

Cell lengths 4.192, 4.192, 11.188 Å; angles 90.00, 90.00, 90.00 degrees
Element x y z (fractional)
Nd (0.000, 0.500, 0.230)
Nd (0.500, 0.000, 0.770)
Ho (0.000, 0.000, 0.500)
Ge (0.000, 0.500, 0.878)
Ge (0.500, 0.000, 0.122)
Ge (0.500, 0.500, 0.500)
Rh (0.000, 0.000, 0.000)
Rh (0.000, 0.500, 0.657)
Rh (0.500, 0.000, 0.343)
Rh (0.500, 0.500, 0.000)

Summary:
Symmetry ... P-4m2, No. 115
Formation energy ... -0.884 eV per atom
Size of the total moment ... 0.0 μB per formula unit

(4)
This record from Alexandria via LeMat-Bulk describes LiTcAg2 after structural relaxation. The functional is PBE.

Cell lengths 5.575, 5.575, 5.575 Å; angles 151.95, 127.81, 60.29 degrees
Element x y z (fractional)
Li (0.000, 0.000, 0.000)
Tc (0.500, 0.500, 0.000)
Ag (0.237, 0.737, 0.500)
Ag (0.763, 0.263, 0.500)

Summary:
Symmetry ... Immm, No. 71
Formation energy ... 0.465 eV per atom
Size of the total moment ... 0.9 μB per formula unit

(5)
This record from Alexandria via LeMat-Bulk describes SrGaBi2 after structural relaxation. The functional is PBE.

Cell lengths 4.938, 4.938, 4.961 Å; angles 90.00, 90.00, 90.00 degrees
Element x y z (fractional)
Sr (0.000, 0.000, 0.000)
Ga (0.500, 0.500, 0.000)
Bi (0.000, 0.500, 0.500)
Bi (0.500, 0.000, 0.500)

Summary:
Symmetry ... P4/mmm, No. 123
Formation energy ... -0.410 eV per atom
Size of the total moment ... 0.0 μB per formula unit

(6)
This record from Alexandria via LeMat-Bulk describes Nd2InSb after structural relaxation. The functional is PBE.

Cell lengths 12.672, 12.672, 4.488 Å; angles 90.00, 90.00, 159.01 degrees
Element x y z (fractional)
Nd (0.065, 0.935, 0.750)
Nd (0.316, 0.684, 0.750)
Nd (0.684, 0.316, 0.250)
Nd (0.935, 0.065, 0.250)
In (0.459, 0.541, 0.750)
In (0.541, 0.459, 0.250)
Sb (0.189, 0.811, 0.750)
Sb (0.811, 0.189, 0.250)

Summary:
Symmetry ... Cmcm, No. 63
Raw formation energy ... -0.81 eV per atom
Size of the total moment ... 0.0 μB per formula unit

(7)
This record from Alexandria via LeMat-Bulk describes Cu6Sn2AsP after structural relaxation. The functional is PBE.

Cell lengths 5.228, 8.223, 7.831 Å; angles 90.00, 90.00, 90.00 degrees
Element x y z (fractional)
Cu (0.002, 0.250, 0.018)
Cu (0.005, 0.750, 0.506)
Cu (0.250, 0.002, 0.415)
Cu (0.250, 0.498, 0.415)
Cu (0.495, 0.750, 0.506)
Cu (0.498, 0.250, 0.018)
Cu (0.502, 0.750, 0.982)
Cu (0.505, 0.250, 0.494)
Cu (0.750, 0.502, 0.585)
Cu (0.750, 0.998, 0.585)
Cu (0.995, 0.250, 0.494)
Cu (0.998, 0.750, 0.982)
Sn (0.250, 0.001, 0.774)
Sn (0.250, 0.499, 0.774)
Sn (0.750, 0.501, 0.226)
Sn (0.750, 0.999, 0.226)
As (0.250, 0.750, 0.236)
As (0.750, 0.250, 0.764)
P (0.250, 0.250, 0.254)
P (0.750, 0.750, 0.746)

Summary:
Symmetry ... Pmmn, No. 59
Formation energy ... 0.038 eV per atom
Size of the total moment ... 0.0 μB per formula unit

(8)
This record from Alexandria via LeMat-Bulk describes MgZnSb2I after structural relaxation. The functional is PBE.

Cell lengths 5.213, 5.213, 5.808 Å; angles 90.00, 90.00, 90.00 degrees
Element x y z (fractional)
Mg (0.000, 0.000, 0.000)
Zn (0.500, 0.500, 0.500)
Sb (0.000, 0.500, 0.500)
Sb (0.500, 0.000, 0.500)
I (0.500, 0.500, 0.000)

Summary:
Symmetry ... P4/mmm, No. 123
Raw formation energy ... 0.39 eV per atom
Size of the total moment ... 0.3 μB per formula unit

(9)
This record from Alexandria via LeMat-Bulk describes DyUAgS4 after structural relaxation. The functional is PBE.

Cell lengths 7.967, 7.967, 7.967 Å; angles 120.41, 119.35, 90.22 degrees
Element x y z (fractional)
Dy (0.500, 0.000, 0.000)
Dy (0.500, 0.500, 0.500)
U (0.000, 0.000, 0.000)
U (0.500, 0.000, 0.500)
Ag (0.120, 0.370, 0.750)
Ag (0.880, 0.630, 0.250)
S (0.254, 0.239, 0.015)
S (0.256, 0.237, 0.481)
S (0.256, 0.775, 0.019)
S (0.276, 0.761, 0.515)
S (0.724, 0.239, 0.485)
S (0.744, 0.225, 0.981)
S (0.744, 0.763, 0.519)
S (0.746, 0.761, 0.985)

Summary:
Symmetry ... Imma, No. 74
Raw formation energy ... -1.34 eV per atom
Size of the total moment ... 2.0 μB per formula unit

(10)
This record from Alexandria via LeMat-Bulk describes Ba6LiIn3 after structural relaxation. The functional is PBE.

Cell lengths 10.664, 6.119, 13.743 Å; angles 90.00, 109.53, 90.00 degrees
Element x y z (fractional)
Ba (0.029, 0.250, 0.418)
Ba (0.151, 0.750, 0.170)
Ba (0.234, 0.250, 0.996)
Ba (0.322, 0.750, 0.805)
Ba (0.368, 0.250, 0.345)
Ba (0.389, 0.250, 0.628)
Ba (0.611, 0.750, 0.372)
Ba (0.632, 0.750, 0.655)
Ba (0.678, 0.250, 0.195)
Ba (0.766, 0.750, 0.004)
Ba (0.849, 0.250, 0.830)
Ba (0.971, 0.750, 0.582)
Li (0.458, 0.750, 0.092)
Li (0.542, 0.250, 0.908)
In (0.027, 0.750, 0.870)
In (0.101, 0.250, 0.716)
In (0.272, 0.750, 0.473)
In (0.728, 0.250, 0.527)
In (0.899, 0.750, 0.284)
In (0.973, 0.250, 0.130)

Summary:
Symmetry ... P2_1/m, No. 11
Formation energy ... -0.233 eV per atom
Size of the total moment ... 0.0 μB per formula unit

(11)
This record from Alexandria via LeMat-Bulk describes BaSb2RuAu after structural relaxation. The functional is PBE.

Cell lengths 5.454, 5.454, 5.248 Å; angles 90.00, 90.00, 90.00 degrees
Element x y z (fractional)
Ba (0.000, 0.000, 0.000)
Sb (0.000, 0.500, 0.500)
Sb (0.500, 0.000, 0.500)
Ru (0.500, 0.500, 0.000)
Au (0.500, 0.500, 0.500)

Summary:
Symmetry ... P4/mmm, No. 123
Raw formation energy ... 0.40 eV per atom
Size of the total moment ... 2.4 μB per formula unit

(12)
This record from Alexandria via LeMat-Bulk describes Na2Bi2Pd after structural relaxation. The functional is PBE.

Cell lengths 7.297, 7.297, 5.213 Å; angles 90.00, 90.00, 90.00 degrees
Element x y z (fractional)
Na (0.166, 0.334, 0.000)
Na (0.334, 0.834, 0.000)
Na (0.666, 0.166, 0.000)
Na (0.834, 0.666, 0.000)
Bi (0.151, 0.651, 0.500)
Bi (0.349, 0.151, 0.500)
Bi (0.651, 0.849, 0.500)
Bi (0.849, 0.349, 0.500)
Pd (0.000, 0.000, 0.500)
Pd (0.500, 0.500, 0.500)

Summary:
Symmetry ... P4/mbm, No. 127
Formation energy ... -0.292 eV per atom
Size of the total moment ... 0.0 μB per formula unit